# Re2POs, optimized geometry, DFT PBE-GGA
# Total magnetic moment   0.000 μB/atom
# Calculated density   17.219 g/cm3
# DFT formation energy   329 meV/atom
# D(E_F)   0.64 states/eV per atom
data_Re2POs
_chemical_formula_sum 'Re2 P1 Os1'
_symmetry_space_group_name_H-M 'P 1'
_symmetry_Int_Tables_number 1
_cell_length_a 2.864
_cell_length_b 3.934
_cell_length_c 5.080
_cell_angle_alpha 90.00
_cell_angle_beta 90.00
_cell_angle_gamma 90.00
loop_
_symmetry_equiv_pos_as_xyz
'x,y,z'
loop_
_atom_site_label
_atom_site_fract_x
_atom_site_fract_y
_atom_site_fract_z
_atom_site_occupancy
Re1 0.000 0.000 0.254 1
Re2 0.000 0.000 0.746 1
P1 0.500 0.500 0.500 1
Os1 0.500 0.500 0.000 1

# CaMnHg, optimized geometry, DFT PBE-GGA
# Total magnetic moment   1.366 μB/atom
# Calculated density   6.334 g/cm3
# DFT formation energy   311 meV/atom
# D(E_F)   1.08 states/eV per atom
data_CaMnHg
_chemical_formula_sum 'Ca1 Mn1 Hg1'
_symmetry_space_group_name_H-M 'P 1'
_symmetry_Int_Tables_number 1
_cell_length_a 3.591
_cell_length_b 3.591
_cell_length_c 6.938
_cell_angle_alpha 90.00
_cell_angle_beta 90.00
_cell_angle_gamma 120.00
loop_
_symmetry_equiv_pos_as_xyz
'x,y,z'
loop_
_atom_site_label
_atom_site_fract_x
_atom_site_fract_y
_atom_site_fract_z
_atom_site_occupancy
Mn1 0.333 0.667 0.638 1
Hg1 0.667 0.333 0.357 1
Ca1 0.000 0.000 0.005 1

# HoClF, optimized geometry, DFT PBE-GGA
# Total magnetic moment   0.000 μB/atom
# Calculated density   4.492 g/cm3
# Formation energy (no corrections)   -254.3 kJ per mole of atoms
# D(E_F)   0.18 states/eV per atom
data_HoClF
_chemical_formula_sum 'Ho2 Cl2 F2'
_symmetry_space_group_name_H-M 'P 1'
_symmetry_Int_Tables_number 1
_cell_length_a 3.537
_cell_length_b 7.304
_cell_length_c 8.625
_cell_angle_alpha 48.98
_cell_angle_beta 78.55
_cell_angle_gamma 89.98
loop_
_symmetry_equiv_pos_as_xyz
'x,y,z'
loop_
_atom_site_label
_atom_site_fract_x
_atom_site_fract_y
_atom_site_fract_z
_atom_site_occupancy
F1 0.884 0.473 0.221 1
Cl1 0.348 0.030 0.298 1
Cl2 0.652 0.970 0.702 1
Ho1 0.712 0.663 0.580 1
Ho2 0.288 0.337 0.420 1
F2 0.116 0.527 0.779 1

# CePmRh2, optimized geometry, DFT PBE-GGA
# Total magnetic moment   0.000 μB/atom
# Calculated density   8.663 g/cm3
# DFT formation energy   -584 meV/atom
# D(E_F)   1.01 states/eV per atom
data_CePmRh2
_chemical_formula_sum 'Ce1 Pm1 Rh2'
_symmetry_space_group_name_H-M 'P 1'
_symmetry_Int_Tables_number 1
_cell_length_a 3.929
_cell_length_b 3.929
_cell_length_c 7.395
_cell_angle_alpha 74.59
_cell_angle_beta 74.59
_cell_angle_gamma 60.00
loop_
_symmetry_equiv_pos_as_xyz
'x,y,z'
loop_
_atom_site_label
_atom_site_fract_x
_atom_site_fract_y
_atom_site_fract_z
_atom_site_occupancy
Rh1 0.256 0.256 0.232 1
Rh2 0.078 0.078 0.766 1
Ce1 0.669 0.669 0.993 1
Pm1 0.497 0.497 0.508 1

# Sr2ZnAs, optimized geometry, DFT PBE-GGA
# Total magnetic moment   0.001 μB/atom
# Calculated density   4.446 g/cm3
# DFT formation energy   -444 meV/atom
# D(E_F)   0.75 states/eV per atom
data_Sr2ZnAs
_chemical_formula_sum 'Sr2 Zn1 As1'
_symmetry_space_group_name_H-M 'P 1'
_symmetry_Int_Tables_number 1
_cell_length_a 6.578
_cell_length_b 6.578
_cell_length_c 6.578
_cell_angle_alpha 139.73
_cell_angle_beta 139.73
_cell_angle_gamma 58.27
loop_
_symmetry_equiv_pos_as_xyz
'x,y,z'
loop_
_atom_site_label
_atom_site_fract_x
_atom_site_fract_y
_atom_site_fract_z
_atom_site_occupancy
As1 0.750 0.250 0.500 1
Zn1 0.500 0.500 0.000 1
Sr1 0.250 0.750 0.500 1
Sr2 0.000 0.000 0.000 1

# Tb3ScB2N6, optimized geometry, DFT PBE-GGA
# Total magnetic moment   0.000 μB/atom
# Calculated density   6.765 g/cm3
# Formation energy (no corrections)   -123.0 kJ per mole of atoms
# D(E_F)   0.03 states/eV per atom
data_Tb3ScB2N6
_chemical_formula_sum 'Tb3 Sc1 B2 N6'
_symmetry_space_group_name_H-M 'P 1'
_symmetry_Int_Tables_number 1
_cell_length_a 5.430
_cell_length_b 5.430
_cell_length_c 6.031
_cell_angle_alpha 90.00
_cell_angle_beta 90.00
_cell_angle_gamma 120.00
loop_
_symmetry_equiv_pos_as_xyz
'x,y,z'
loop_
_atom_site_label
_atom_site_fract_x
_atom_site_fract_y
_atom_site_fract_z
_atom_site_occupancy
N1 0.180 0.820 0.277 1
Tb1 0.667 0.333 0.340 1
N2 0.820 0.639 0.723 1
B1 0.333 0.667 0.247 1
N3 0.361 0.180 0.723 1
Tb2 0.000 0.000 0.000 1
N4 0.820 0.180 0.723 1
B2 0.667 0.333 0.753 1
Sc1 0.000 0.000 0.500 1
N5 0.180 0.361 0.277 1
Tb3 0.333 0.667 0.660 1
N6 0.639 0.820 0.277 1

# Fe4MoOs, optimized geometry, DFT PBE-GGA
# Total magnetic moment   0.917 μB/atom
# Calculated density   11.669 g/cm3
# DFT formation energy   8 meV/atom
# D(E_F)   1.06 states/eV per atom
data_Fe4MoOs
_chemical_formula_sum 'Fe4 Mo1 Os1'
_symmetry_space_group_name_H-M 'P 1'
_symmetry_Int_Tables_number 1
_cell_length_a 4.681
_cell_length_b 4.681
_cell_length_c 4.681
_cell_angle_alpha 60.00
_cell_angle_beta 60.00
_cell_angle_gamma 60.00
loop_
_symmetry_equiv_pos_as_xyz
'x,y,z'
loop_
_atom_site_label
_atom_site_fract_x
_atom_site_fract_y
_atom_site_fract_z
_atom_site_occupancy
Fe1 0.625 0.124 0.625 1
Mo1 0.250 0.250 0.250 1
Fe2 0.625 0.625 0.124 1
Os1 0.000 0.000 0.000 1
Fe3 0.124 0.625 0.625 1
Fe4 0.625 0.625 0.625 1

# HgAsBr2, optimized geometry, DFT PBE-GGA
# Total magnetic moment   0.000 μB/atom
# Calculated density   4.510 g/cm3
# Formation energy (no corrections)   -10.7 kJ per mole of atoms
# D(E_F)   0.49 states/eV per atom
data_HgAsBr2
_chemical_formula_sum 'Hg1 As1 Br2'
_symmetry_space_group_name_H-M 'P 1'
_symmetry_Int_Tables_number 1
_cell_length_a 7.050
_cell_length_b 7.050
_cell_length_c 7.335
_cell_angle_alpha 54.26
_cell_angle_beta 54.26
_cell_angle_gamma 33.70
loop_
_symmetry_equiv_pos_as_xyz
'x,y,z'
loop_
_atom_site_label
_atom_site_fract_x
_atom_site_fract_y
_atom_site_fract_z
_atom_site_occupancy
Br1 0.018 0.018 0.039 1
Hg1 0.504 0.504 0.477 1
Br2 0.840 0.840 0.808 1
As1 0.137 0.137 0.177 1

# SrTl2TcO6, optimized geometry, DFT PBE-GGA
# Total magnetic moment   0.000 μB/atom
# Calculated density   5.314 g/cm3
# Formation energy (no corrections)   -124.4 kJ per mole of atoms
# D(E_F)   0.33 states/eV per atom
data_SrTl2TcO6
_chemical_formula_sum 'Sr1 Tl2 Tc1 O6'
_symmetry_space_group_name_H-M 'P 1'
_symmetry_Int_Tables_number 1
_cell_length_a 6.306
_cell_length_b 6.285
_cell_length_c 6.285
_cell_angle_alpha 120.00
_cell_angle_beta 90.00
_cell_angle_gamma 90.00
loop_
_symmetry_equiv_pos_as_xyz
'x,y,z'
loop_
_atom_site_label
_atom_site_fract_x
_atom_site_fract_y
_atom_site_fract_z
_atom_site_occupancy
O1 0.819 0.717 0.859 1
O2 0.181 0.859 0.141 1
O3 0.181 0.283 0.141 1
Sr1 0.500 0.000 0.000 1
O4 0.819 0.141 0.859 1
Tl1 0.007 0.667 0.333 1
O5 0.181 0.859 0.717 1
Tl2 0.993 0.333 0.667 1
O6 0.819 0.141 0.283 1
Tc1 0.000 0.000 0.000 1

# Na2HfTa, optimized geometry, DFT PBE-GGA
# Total magnetic moment   0.059 μB/atom
# Calculated density   7.128 g/cm3
# DFT formation energy   1374 meV/atom
# D(E_F)   1.02 states/eV per atom
data_Na2HfTa
_chemical_formula_sum 'Na4 Hf2 Ta2'
_symmetry_space_group_name_H-M 'P 1'
_symmetry_Int_Tables_number 1
_cell_length_a 8.417
_cell_length_b 8.417
_cell_length_c 6.522
_cell_angle_alpha 49.81
_cell_angle_beta 49.81
_cell_angle_gamma 90.00
loop_
_symmetry_equiv_pos_as_xyz
'x,y,z'
loop_
_atom_site_label
_atom_site_fract_x
_atom_site_fract_y
_atom_site_fract_z
_atom_site_occupancy
Ta1 0.750 0.250 0.500 1
Na1 0.375 0.370 0.750 1
Na2 0.120 0.625 0.250 1
Na3 0.630 0.125 0.250 1
Hf1 0.250 0.750 0.500 1
Na4 0.875 0.880 0.750 1
Hf2 0.500 0.500 0.000 1
Ta2 0.000 0.000 0.000 1

# MgSc2CuPt, optimized geometry, DFT PBE-GGA
# Total magnetic moment   0.000 μB/atom
# Calculated density   5.069 g/cm3
# DFT formation energy   -84 meV/atom
# D(E_F)   0.83 states/eV per atom
data_MgSc2CuPt
_chemical_formula_sum 'Mg1 Sc2 Cu1 Pt1'
_symmetry_space_group_name_H-M 'P 1'
_symmetry_Int_Tables_number 1
_cell_length_a 5.003
_cell_length_b 4.880
_cell_length_c 5.003
_cell_angle_alpha 90.00
_cell_angle_beta 90.00
_cell_angle_gamma 90.00
loop_
_symmetry_equiv_pos_as_xyz
'x,y,z'
loop_
_atom_site_label
_atom_site_fract_x
_atom_site_fract_y
_atom_site_fract_z
_atom_site_occupancy
Cu1 0.000 0.500 0.000 1
Pt1 0.000 0.000 0.000 1
Sc1 0.500 0.000 0.000 1
Sc2 0.000 0.000 0.500 1
Mg1 0.500 0.500 0.500 1